Record 1
# GGA-PBE La2MgAs4Pd3, relaxed
# Mass density (Mg/m³): 7.4
# Magnetic moment (μB per formula unit): 0.000
# Electronic total energy (eV per atom): -5.49
data_La2MgAs4Pd3
_chemical_formula_sum 'La2 Mg1 As4 Pd3'
_cell_length_a 4.425
_cell_length_b 4.425
_cell_length_c 10.542
_cell_angle_alpha 90.00
_cell_angle_beta 90.00
_cell_angle_gamma 90.00
_symmetry_space_group_name_H-M 'P 1'
_symmetry_Int_Tables_number 1
_symmetry_space_group_name_Hall 'P 1'
loop_
_atom_site_label
_atom_site_type_symbol
_atom_site_fract_x
_atom_site_fract_y
_atom_site_fract_z
La1 La 0.500 0.000 0.235
La2 La 0.000 0.500 0.765
Mg1 Mg 0.500 0.500 0.500
As1 As 0.500 0.500 0.000
As2 As 0.000 0.000 0.000
As3 As 0.500 0.000 0.644
As4 As 0.000 0.500 0.356
Pd1 Pd 0.000 0.000 0.500
Pd2 Pd 0.500 0.000 0.882
Pd3 Pd 0.000 0.500 0.118

Record 2
# GGA-PBE Pm2UTc3, relaxed
# Mass density (Mg/m³): 9.5
# Magnetic moment (μB per formula unit): 0.000
# Electronic total energy (eV per atom): -8.59
data_Pm2UTc3
_chemical_formula_sum 'Pm4 U2 Tc6'
_cell_length_a 4.882
_cell_length_b 7.921
_cell_length_c 7.921
_cell_angle_alpha 110.91
_cell_angle_beta 90.00
_cell_angle_gamma 90.00
_symmetry_space_group_name_H-M 'P 1'
_symmetry_Int_Tables_number 1
_symmetry_space_group_name_Hall 'P 1'
loop_
_atom_site_label
_atom_site_type_symbol
_atom_site_fract_x
_atom_site_fract_y
_atom_site_fract_z
Pm1 Pm 0.750 0.514 0.825
Pm2 Pm 0.250 0.175 0.486
Pm3 Pm 0.250 0.486 0.175
Pm4 Pm 0.750 0.825 0.514
U1 U 0.250 0.849 0.849
U2 U 0.750 0.151 0.151
Tc1 Tc 0.000 0.157 0.843
Tc2 Tc 0.500 0.157 0.843
Tc3 Tc 0.250 0.602 0.602
Tc4 Tc 0.750 0.398 0.398
Tc5 Tc 0.500 0.843 0.157
Tc6 Tc 0.000 0.843 0.157

Record 3
# GGA-PBE PdPt3Rh12, relaxed
# Mass density (Mg/m³): 13.8
# Magnetic moment (μB per formula unit): 0.000
# Electronic total energy (eV per atom): -6.96
data_PdPt3Rh12
_chemical_formula_sum 'Pd1 Pt3 Rh12'
_cell_length_a 3.872
_cell_length_b 3.872
_cell_length_c 15.487
_cell_angle_alpha 90.00
_cell_angle_beta 90.00
_cell_angle_gamma 90.00
_symmetry_space_group_name_H-M 'P 1'
_symmetry_Int_Tables_number 1
_symmetry_space_group_name_Hall 'P 1'
loop_
_atom_site_label
_atom_site_type_symbol
_atom_site_fract_x
_atom_site_fract_y
_atom_site_fract_z
Pd1 Pd 0.000 0.000 0.000
Pt1 Pt 0.000 0.000 0.250
Pt2 Pt 0.000 0.000 0.500
Pt3 Pt 0.000 0.000 0.750
Rh1 Rh 0.500 0.500 0.000
Rh2 Rh 0.500 0.500 0.250
Rh3 Rh 0.500 0.500 0.500
Rh4 Rh 0.500 0.500 0.750
Rh5 Rh 0.500 0.000 0.125
Rh6 Rh 0.500 0.000 0.375
Rh7 Rh 0.500 0.000 0.625
Rh8 Rh 0.500 0.000 0.875
Rh9 Rh 0.000 0.500 0.125
Rh10 Rh 0.000 0.500 0.375
Rh11 Rh 0.000 0.500 0.625
Rh12 Rh 0.000 0.500 0.875

Record 4
# GGA-PBE NaLiPm2S4, relaxed
# Mass density (Mg/m³): 4.0
# Magnetic moment (μB per formula unit): 0.000
# Electronic total energy (eV per atom): -5.45
# Formation energy (no corrections) (meV per atom): -1790.9
data_NaLiPm2S4
_chemical_formula_sum 'Na2 Li2 Pm4 S8'
_cell_length_a 8.081
_cell_length_b 8.081
_cell_length_c 8.047
_cell_angle_alpha 119.83
_cell_angle_beta 119.83
_cell_angle_gamma 90.07
_symmetry_space_group_name_H-M 'P 1'
_symmetry_Int_Tables_number 1
_symmetry_space_group_name_Hall 'P 1'
loop_
_atom_site_label
_atom_site_type_symbol
_atom_site_fract_x
_atom_site_fract_y
_atom_site_fract_z
Na1 Na 0.000 0.500 0.000
Na2 Na 0.000 0.500 0.500
Li1 Li 0.500 0.500 0.500
Li2 Li 0.000 0.000 0.000
Pm1 Pm 0.500 0.000 0.000
Pm2 Pm 0.500 0.000 0.500
Pm3 Pm 0.000 0.000 0.500
Pm4 Pm 0.500 0.500 0.000
S1 S 0.261 0.756 0.009
S2 S 0.744 0.239 0.491
S3 S 0.256 0.761 0.509
S4 S 0.739 0.244 0.991
S5 S 0.746 0.754 0.003
S6 S 0.746 0.754 0.497
S7 S 0.254 0.246 0.503
S8 S 0.254 0.246 0.997

Record 5
# GGA-PBE BiSb2HI, relaxed
# Mass density (Mg/m³): 4.2
# ΔE to the lowest computed polymorph (meV/atom): 559
# Magnetic moment (μB per formula unit): 3.112
# Electronic total energy (eV per atom): -2.38
data_BiSb2HI
_chemical_formula_sum 'Bi1 Sb2 H1 I1'
_cell_length_a 5.977
_cell_length_b 5.977
_cell_length_c 6.417
_cell_angle_alpha 90.00
_cell_angle_beta 90.00
_cell_angle_gamma 90.00
_symmetry_space_group_name_H-M 'P 1'
_symmetry_Int_Tables_number 1
_symmetry_space_group_name_Hall 'P 1'
loop_
_atom_site_label
_atom_site_type_symbol
_atom_site_fract_x
_atom_site_fract_y
_atom_site_fract_z
I1 I 0.000 0.000 0.500
Sb1 Sb 0.000 0.500 0.000
Sb2 Sb 0.500 0.000 0.000
Bi1 Bi 0.000 0.000 0.000
H1 H 0.500 0.500 0.500

Record 6
# GGA-PBE H3OsAu, relaxed
# Mass density (Mg/m³): 14.4
# ΔE to the lowest computed polymorph (meV/atom): 616
# Magnetic moment (μB per formula unit): 0.298
# Electronic total energy (eV per atom): -3.72
data_H3OsAu
_chemical_formula_sum 'H3 Os1 Au1'
_cell_length_a 3.558
_cell_length_b 3.558
_cell_length_c 3.558
_cell_angle_alpha 90.00
_cell_angle_beta 90.00
_cell_angle_gamma 90.00
_symmetry_space_group_name_H-M 'P 1'
_symmetry_Int_Tables_number 1
_symmetry_space_group_name_Hall 'P 1'
loop_
_atom_site_label
_atom_site_type_symbol
_atom_site_fract_x
_atom_site_fract_y
_atom_site_fract_z
Os1 Os 0.500 0.500 0.500
Au1 Au 0.000 0.000 0.000
H1 H 0.000 0.500 0.000
H2 H 0.000 0.000 0.500
H3 H 0.500 0.000 0.000

Record 7
# GGA-PBE Ce2Ge4Ir3, relaxed
# Mass density (Mg/m³): 11.3
# Magnetic moment (μB per formula unit): 0.815
# Electronic total energy (eV per atom): -6.96
data_Ce2Ge4Ir3
_chemical_formula_sum 'Ce2 Ge4 Ir3'
_cell_length_a 5.650
_cell_length_b 5.650
_cell_length_c 6.765
_cell_angle_alpha 101.83
_cell_angle_beta 101.83
_cell_angle_gamma 120.60
_symmetry_space_group_name_H-M 'P 1'
_symmetry_Int_Tables_number 1
_symmetry_space_group_name_Hall 'P 1'
loop_
_atom_site_label
_atom_site_type_symbol
_atom_site_fract_x
_atom_site_fract_y
_atom_site_fract_z
Ce1 Ce 0.628 0.628 0.255
Ce2 Ce 0.372 0.372 0.745
Ge1 Ge 0.004 0.673 0.677
Ge2 Ge 0.673 0.004 0.677
Ge3 Ge 0.996 0.327 0.323
Ge4 Ge 0.327 0.996 0.323
Ir1 Ir 0.500 0.000 0.000
Ir2 Ir 0.000 0.000 0.000
Ir3 Ir 0.000 0.500 0.000

Record 8
# GGA-PBE YRuC3, relaxed
# Mass density (Mg/m³): 5.9
# ΔE to the lowest computed polymorph (meV/atom): 0
# Magnetic moment (μB per formula unit): 0.000
# Electronic total energy (eV per atom): -7.56
data_YRuC3
_chemical_formula_sum 'Y1 Ru1 C3'
_cell_length_a 3.992
_cell_length_b 3.992
_cell_length_c 3.992
_cell_angle_alpha 90.00
_cell_angle_beta 90.00
_cell_angle_gamma 90.00
_symmetry_space_group_name_H-M 'P 1'
_symmetry_Int_Tables_number 1
_symmetry_space_group_name_Hall 'P 1'
loop_
_atom_site_label
_atom_site_type_symbol
_atom_site_fract_x
_atom_site_fract_y
_atom_site_fract_z
Y1 Y 0.500 0.500 0.500
Ru1 Ru 0.000 0.000 0.000
C1 C 0.000 0.500 0.000
C2 C 0.000 0.000 0.500
C3 C 0.500 0.000 0.000

Record 9
# GGA-PBE RbVI, relaxed
# Mass density (Mg/m³): 3.9
# ΔE to the lowest computed polymorph (meV/atom): 119
# Magnetic moment (μB per formula unit): 0.001
# Electronic total energy (eV per atom): -3.81
# Formation energy (no corrections) (meV per atom): 72.3
data_RbVI
_chemical_formula_sum 'Rb4 V4 I4'
_cell_length_a 3.797
_cell_length_b 12.788
_cell_length_c 9.374
_cell_angle_alpha 79.19
_cell_angle_beta 90.00
_cell_angle_gamma 90.00
_symmetry_space_group_name_H-M 'P 1'
_symmetry_Int_Tables_number 1
_symmetry_space_group_name_Hall 'P 1'
loop_
_atom_site_label
_atom_site_type_symbol
_atom_site_fract_x
_atom_site_fract_y
_atom_site_fract_z
I1 I 0.295 0.599 0.686
I2 I 0.795 0.901 0.314
I3 I 0.705 0.401 0.314
I4 I 0.205 0.099 0.686
V1 V 0.391 0.942 0.058
V2 V 0.891 0.558 0.942
V3 V 0.609 0.058 0.942
V4 V 0.109 0.442 0.058
Rb1 Rb 0.277 0.658 0.276
Rb2 Rb 0.777 0.842 0.724
Rb3 Rb 0.723 0.342 0.724
Rb4 Rb 0.223 0.158 0.276

Record 10
# GGA-PBE KCuSe2S4, relaxed
# Mass density (Mg/m³): 3.1
# Magnetic moment (μB per formula unit): 0.000
# Electronic total energy (eV per atom): -3.77
# Formation energy (no corrections) (meV per atom): -181.5
data_KCuSe2S4
_chemical_formula_sum 'K1 Cu1 Se2 S4'
_cell_length_a 8.386
_cell_length_b 6.660
_cell_length_c 6.660
_cell_angle_alpha 80.09
_cell_angle_beta 50.98
_cell_angle_gamma 50.98
_symmetry_space_group_name_H-M 'P 1'
_symmetry_Int_Tables_number 1
_symmetry_space_group_name_Hall 'P 1'
loop_
_atom_site_label
_atom_site_type_symbol
_atom_site_fract_x
_atom_site_fract_y
_atom_site_fract_z
K1 K 0.000 0.000 0.000
Cu1 Cu 0.000 0.500 0.500
Se1 Se 0.500 0.723 0.277
Se2 Se 0.500 0.277 0.723
S1 S 0.611 0.589 0.897
S2 S 0.389 0.103 0.411
S3 S 0.098 0.411 0.103
S4 S 0.902 0.897 0.589

Record 11
# GGA-PBE ZrSCl2F, relaxed
# Mass density (Mg/m³): 2.8
# ΔE to the lowest computed polymorph (meV/atom): 0
# Magnetic moment (μB per formula unit): 1.012
# Electronic total energy (eV per atom): -4.73
# Formation energy (no corrections) (meV per atom): -1081.8
data_ZrSCl2F
_chemical_formula_sum 'Zr1 S1 Cl2 F1'
_cell_length_a 4.996
_cell_length_b 4.996
_cell_length_c 4.981
_cell_angle_alpha 90.00
_cell_angle_beta 90.00
_cell_angle_gamma 90.00
_symmetry_space_group_name_H-M 'P 1'
_symmetry_Int_Tables_number 1
_symmetry_space_group_name_Hall 'P 1'
loop_
_atom_site_label
_atom_site_type_symbol
_atom_site_fract_x
_atom_site_fract_y
_atom_site_fract_z
S1 S 0.000 0.000 0.500
F1 F 0.500 0.500 0.500
Zr1 Zr 0.000 0.000 0.000
Cl1 Cl 0.000 0.500 0.000
Cl2 Cl 0.500 0.000 0.000

Record 12
# GGA-PBE CsInSe2, relaxed
# Mass density (Mg/m³): 4.2
# Magnetic moment (μB per formula unit): 0.000
# Electronic total energy (eV per atom): -3.57
# Formation energy (no corrections) (meV per atom): -928.7
data_CsInSe2
_chemical_formula_sum 'Cs2 In2 Se4'
_cell_length_a 6.814
_cell_length_b 7.534
_cell_length_c 7.534
_cell_angle_alpha 107.97
_cell_angle_beta 106.43
_cell_angle_gamma 106.43
_symmetry_space_group_name_H-M 'P 1'
_symmetry_Int_Tables_number 1
_symmetry_space_group_name_Hall 'P 1'
loop_
_atom_site_label
_atom_site_type_symbol
_atom_site_fract_x
_atom_site_fract_y
_atom_site_fract_z
Cs1 Cs 0.250 0.365 0.635
Cs2 Cs 0.750 0.635 0.365
Se1 Se 0.371 0.921 0.698
Se2 Se 0.129 0.302 0.079
Se3 Se 0.871 0.698 0.921
Se4 Se 0.629 0.079 0.302
In1 In 0.750 0.008 0.992
In2 In 0.250 0.992 0.008